# BSbTe2W | Alexandria via LeMat-Bulk | GGA-PBE | optimized geometry
# Mass density in g/cm3: 6.4
# Uncorrected energy in eV for the cell shown: -22.51
# Excess energy over the best structure of this formula in the dataset in kJ/mol of formula units: 90.2
# ΔE_f (raw) in eV per atom: 1.50
data_BSbTe2W
_chemical_formula_sum 'B1 Sb1 Te2 W1'
_symmetry_space_group_name_H-M 'P 4/m m m'
_symmetry_Int_Tables_number 123
_symmetry_space_group_name_Hall '-P 4 2'
_cell_length_a 5.2886
_cell_length_b 5.2886
_cell_length_c 5.2961
_cell_angle_alpha 90.00
_cell_angle_beta 90.00
_cell_angle_gamma 90.00
loop_
_atom_site_label
_atom_site_type_symbol
_atom_site_fract_x
_atom_site_fract_y
_atom_site_fract_z
B1 B 0.0000 0.0000 0.0000
Sb1 Sb 0.5000 0.5000 0.0000
Te1 Te 0.0000 0.5000 0.5000
W1 W 0.5000 0.5000 0.5000